Run w
Material: FeCoOs2
Method: DFT, meta-GGA SCAN
State: PBEsol geometry

Unit cell a=4.4616 b=4.4616 c=4.4218 alpha=99.51 beta=99.51 gamma=33.87
Fractional coordinates of all 4 atoms:
Fe (0.0000, 0.0000, 0.0000)
Co (0.7505, 0.7505, 0.2450)
Os (0.2535, 0.2535, 0.7624)
Os (0.5001, 0.5001, 0.4832)

Calculated values
- symmetry = Cm (8)
- DOS at the Fermi energy (states/eV/cell) = 3.82

Run x
Material: FeCoOs2
Method: DFT, meta-GGA SCAN
State: PBEsol geometry

Unit cell a=8.4453 b=8.4453 c=8.4453 alpha=18.04 beta=18.04 gamma=18.04
Fractional coordinates of all 4 atoms:
Fe (0.0000, 0.0000, 0.0000)
Co (0.2564, 0.2564, 0.2564)
Os (0.5062, 0.5062, 0.5062)
Os (0.7510, 0.7510, 0.7510)

Calculated values
- symmetry = R3m (160)
- DOS at the Fermi energy (states/eV/cell) = 3.84

run x has the most favorable energy; the next structure is 5.1 kJ/mol of atoms above.

Run w
Material: CoMo2Cl
Method: DFT, meta-GGA SCAN
State: PBEsol geometry

Unit cell a=2.7901 b=2.7901 c=7.2501 alpha=90.00 beta=90.00 gamma=90.00
Fractional coordinates of all 4 atoms:
Co (0.0000, 0.0000, 0.0000)
Mo (0.0000, 0.0000, 0.5004)
Mo (0.5000, 0.5000, 0.2137)
Cl (0.5000, 0.5000, 0.7261)

Calculated values
- symmetry = P4mm (99)
- DOS at the Fermi energy (states/eV/cell) = 2.77

Run x
Material: CoMo2Cl
Method: DFT, meta-GGA SCAN
State: PBEsol geometry

Unit cell a=8.4298 b=8.4298 c=8.4298 alpha=19.20 beta=19.20 gamma=19.20
Fractional coordinates of all 4 atoms:
Co (0.0000, 0.0000, 0.0000)
Mo (0.5058, 0.5058, 0.5058)
Mo (0.7428, 0.7428, 0.7428)
Cl (0.2489, 0.2489, 0.2489)

Calculated values
- symmetry = R3m (160)
- DOS at the Fermi energy (states/eV/cell) = 2.78

run x has the most favorable energy; the next structure is 9.4 kJ/mol of atoms above.

Run w
Material: LiIrRh2
Method: DFT, meta-GGA SCAN
State: PBEsol geometry

Unit cell a=4.5993 b=4.5993 c=4.5993 alpha=132.43 beta=132.43 gamma=69.55
Fractional coordinates of all 4 atoms:
Li (0.0000, 0.0000, 0.0000)
Ir (0.2500, 0.7500, 0.5000)
Rh (0.5000, 0.5000, 0.0000)
Rh (0.7500, 0.2500, 0.5000)

Calculated values
- symmetry = I-4m2 (119)
- DOS at the Fermi energy (states/eV/cell) = 3.46

Run x
Material: LiIrRh2
Method: DFT, meta-GGA SCAN
State: PBEsol geometry

Unit cell a=4.6199 b=4.6199 c=4.5511 alpha=98.64 beta=98.64 gamma=33.55
Fractional coordinates of all 4 atoms:
Li (0.0000, 0.0000, 0.0000)
Ir (0.7596, 0.7596, 0.2821)
Rh (0.2432, 0.2432, 0.7809)
Rh (0.5024, 0.5024, 0.4959)

Calculated values
- symmetry = Cm (8)
- DOS at the Fermi energy (states/eV/cell) = 3.09

run x has the most favorable energy; the next structure is 4.8 kJ/mol of atoms above.